# TlVHgMo2

TlVHgMo2 after structural relaxation (PBE, the Alexandria database).

The structure belongs to space group P4/mmm (No. 123); the cell edges are 4.587, 4.587 and 5.203 Å and the angles 90.00°, 90.00° and 90.00°. The asymmetric unit holds Tl at (0.000, 0.000, 0.000), V at (0.000, 0.000, 0.500), Hg at (0.500, 0.500, 0.000) and Mo at (0.000, 0.500, 0.500).

The value obtained for the calculated total energy is -27.1 eV for the cell shown.

# MnFe2Pd

MnFe2Pd after structural relaxation (PBE, the Alexandria database).

The structure belongs to space group Fm-3m (No. 225); the cell edges are 5.753, 5.753 and 5.753 Å and the angles 90.00°, 90.00° and 90.00°. The asymmetric unit holds Mn at (0.000, 0.000, 0.000), Fe at (0.250, 0.250, 0.250) and Pd at (0.000, 0.000, 0.500).

The value obtained for the calculated total energy is -117.0 eV for the cell shown.

# AcTl2AgSb2

AcTl2AgSb2 after structural relaxation (PBE, the Alexandria database).

The structure belongs to space group Pmc2_1 (No. 26); the cell edges are 4.902, 10.085 and 7.885 Å and the angles 90.00°, 90.00° and 90.00°. The asymmetric unit holds Ac at (0.000, 0.042, 0.000), Tl at (0.000, 0.361, 0.337), Tl at (0.500, 0.388, 0.993), Ag at (0.500, 0.158, 0.670), Sb at (0.000, 0.295, 0.731) and Sb at (0.500, 0.123, 0.278).

For the formation energy (no corrections), the calculation gives -0.39 eV per atom. The value obtained for the calculated total energy is -44.6 eV for the cell shown.

- Among the records above, which one has the lowest calculated total energy?
  MnFe2Pd

- Look up the calculated total energy of the second one.
  -117.0 eV for the cell shown